Record 1
The following is a DFT calculation (GGA-PBEsol) of a relaxed Tl5Se crystal.

symmetry: Cm (8)
E_form (uncorrected): -0.109 eV/atom
size of the total moment: 0.0000 μB per atom
crystal system: monoclinic

Lattice parameters (Å, degrees): 3.8624 6.2166 7.7284 109.13 90.00 108.10
Fractional positions:
Se (0.9807, 0.9615, 0.9538)
Tl (0.3124, 0.6248, 0.6435)
Tl (0.6366, 0.2732, 0.2602)
Tl (0.3178, 0.6356, 0.0887)
Tl (0.6197, 0.2394, 0.7843)
Tl (0.9661, 0.9322, 0.4361)

***

Record 2
The following is a DFT calculation (GGA-PBEsol) of a relaxed TlSe2 crystal.

symmetry: Pnma (62)
E_form (uncorrected): -0.100 eV/atom
polymorph energy (0 for the lowest one): 42 meV/atom
size of the total moment: 0.0000 μB per atom
crystal system: orthorhombic

Lattice parameters (Å, degrees): 5.5131 6.0186 9.6973 90.00 90.00 90.00
Fractional positions:
Tl (0.2755, 0.7500, 0.6316)
Tl (0.7755, 0.7500, 0.8684)
Tl (0.2245, 0.2500, 0.1316)
Tl (0.7245, 0.2500, 0.3684)
Se (0.2184, 0.2500, 0.5051)
Se (0.7184, 0.2500, 0.9949)
Se (0.1188, 0.2500, 0.7423)
Se (0.6188, 0.2500, 0.7577)
Se (0.7816, 0.7500, 0.4949)
Se (0.8812, 0.7500, 0.2577)
Se (0.3812, 0.7500, 0.2423)
Se (0.2816, 0.7500, 0.0051)